Entry 1:
Here is a relaxed Zr3Sb4Au4 crystal from OQMD. Energies are from PBE.

a = 7.8601 Å, b = 7.8601 Å, c = 7.8601 Å
α = 131.62°, β = 131.62°, γ = 70.83°
With the nearest neighbours (Å) after each atom.
Fractional positions:
Sb1 0.5000 0.0000 0.5000  4 Au 2.71
Zr1 0.2500 0.7500 0.5000  4 Au 2.90, 6 Sb 3.20-3.22
Sb2 0.2373 0.2373 0.0000  4 Au 2.75-3.05, 1 Zr 3.04
Sb3 0.7627 0.7627 0.0000  4 Au 2.75-3.05, 1 Zr 3.04
Au1 0.1726 0.1726 0.5700  3 Sb 2.71-2.75, 3 Zr 2.90-2.97
Zr2 0.7500 0.2500 0.5000  4 Au 2.90, 6 Sb 3.20-3.22
Au2 0.6026 0.6026 0.4300  3 Sb 2.71-2.75, 3 Zr 2.90-2.97
Au3 0.8274 0.3974 0.0000  3 Sb 2.71-2.75, 3 Zr 2.90-2.97
Zr3 0.0000 0.0000 0.0000  4 Au 2.97, 6 Sb 3.04-3.22
Sb4 0.0000 0.5000 0.5000  4 Au 2.71
Au4 0.3974 0.8274 0.0000  3 Sb 2.71-2.75, 3 Zr 2.90-2.97

Summary:
Final energy, eV/atom: -5.272
Crystal system: tetragonal
ρ, g/cm³: 9.674

=====

Entry 2:
Here is a relaxed Sc2Au crystal from OQMD. Energies are from PBE.

a = 8.3054 Å, b = 8.3054 Å, c = 8.3054 Å
α = 60.00°, β = 60.00°, γ = 60.00°
With the nearest neighbours (Å) after each atom.
Fractional positions:
Sc1 0.3750 0.3750 0.8750  2 Au 2.54
Au1 0.2500 0.2500 0.2500  4 Sc 2.54
Sc2 0.3750 0.3750 0.3750  2 Au 2.54
Sc3 0.8750 0.3750 0.3750  2 Au 2.54
Sc4 0.3750 0.8750 0.3750  2 Au 2.54
Au2 0.5000 0.5000 0.5000  4 Sc 2.54

Summary:
Final energy, eV/atom: -4.232
Crystal system: cubic
Energy of formation from the pure elements, eV/atom: 1.08
ρ, g/cm³: 2.352

=====

Entry 3:
Here is a relaxed Sc2Au crystal from OQMD. Energies are from PBE.

a = 6.5223 Å, b = 4.6605 Å, c = 8.3654 Å
α = 90.00°, β = 90.00°, γ = 90.00°
With the nearest neighbours (Å) after each atom.
Fractional positions:
Au1 0.7591 0.2500 0.5992  7 Sc 2.71-2.96
Sc1 0.1558 0.7500 0.0769  4 Au 2.71-2.84
Au2 0.2591 0.2500 0.9008  7 Sc 2.71-2.96
Sc2 0.6558 0.7500 0.4231  4 Au 2.71-2.84
Sc3 0.3442 0.2500 0.5769  4 Au 2.71-2.84
Sc4 0.8442 0.2500 0.9231  4 Au 2.71-2.84
Au3 0.7409 0.7500 0.0992  7 Sc 2.71-2.96
Sc5 0.5166 0.7500 0.8133  3 Au 2.80-2.96
Au4 0.2409 0.7500 0.4008  7 Sc 2.71-2.96
Sc6 0.9834 0.2500 0.3133  3 Au 2.80-2.96
Sc7 0.0166 0.7500 0.6867  3 Au 2.80-2.96
Sc8 0.4834 0.2500 0.1867  3 Au 2.80-2.96

Summary:
Final energy, eV/atom: -5.959
Crystal system: orthorhombic
Energy of formation from the pure elements, eV/atom: -0.65
ρ, g/cm³: 7.494

=====

Entry 4:
Here is a relaxed Sc2Au crystal from OQMD. Energies are from PBE.

a = 5.5210 Å, b = 5.5210 Å, c = 5.5210 Å
α = 60.00°, β = 60.00°, γ = 60.00°
With the nearest neighbours (Å) after each atom.
Fractional positions:
Sc1 0.1250 0.6250 0.6250  6 Sc 2.76
Sc2 0.6250 0.6250 0.1250  6 Sc 2.76
Au1 0.0000 0.0000 0.0000  12 Sc 3.24, 4 Au 3.38
Sc3 0.6250 0.1250 0.6250  6 Sc 2.76
Au2 0.2500 0.2500 0.2500  12 Sc 3.24, 4 Au 3.38
Sc4 0.6250 0.6250 0.6250  6 Sc 2.76

Summary:
Final energy, eV/atom: -5.221
Crystal system: cubic
Energy of formation from the pure elements, eV/atom: 0.09
ρ, g/cm³: 8.006

=====

Please write out number 3 again, unchanged.
Here is a relaxed Sc2Au crystal from OQMD. Energies are from PBE.

a = 6.5223 Å, b = 4.6605 Å, c = 8.3654 Å
α = 90.00°, β = 90.00°, γ = 90.00°
With the nearest neighbours (Å) after each atom.
Fractional positions:
Au1 0.7591 0.2500 0.5992  7 Sc 2.71-2.96
Sc1 0.1558 0.7500 0.0769  4 Au 2.71-2.84
Au2 0.2591 0.2500 0.9008  7 Sc 2.71-2.96
Sc2 0.6558 0.7500 0.4231  4 Au 2.71-2.84
Sc3 0.3442 0.2500 0.5769  4 Au 2.71-2.84
Sc4 0.8442 0.2500 0.9231  4 Au 2.71-2.84
Au3 0.7409 0.7500 0.0992  7 Sc 2.71-2.96
Sc5 0.5166 0.7500 0.8133  3 Au 2.80-2.96
Au4 0.2409 0.7500 0.4008  7 Sc 2.71-2.96
Sc6 0.9834 0.2500 0.3133  3 Au 2.80-2.96
Sc7 0.0166 0.7500 0.6867  3 Au 2.80-2.96
Sc8 0.4834 0.2500 0.1867  3 Au 2.80-2.96

Summary:
Final energy, eV/atom: -5.959
Crystal system: orthorhombic
Energy of formation from the pure elements, eV/atom: -0.65
ρ, g/cm³: 7.494

=====

Which formula does entry 4 have? Sc2Au